A relaxed Li2AlAg crystal. Source: Alexandria via LeMat-Bulk, functional PBEsol.

Lattice parameters (Å, degrees): 5.334 8.918 2.748 90.00 107.86 90.00
Space group C2/m (No. 12)
One atom of each set of equivalent atoms:
Li 0.250 0.250 0.000 (multiplicity 4)
Al 0.000 0.000 0.500 (multiplicity 2)
Ag 0.000 0.500 0.500 (multiplicity 2)

Values from the calculation:
D(E_F) (states/eV/cell): 2.606
Formation energy from the elements (kJ per mole of atoms): -14.7
VASP energy (eV/atom): -2.987
Size of the total moment (μB per formula unit): 0.000

***

A relaxed Na3WN crystal. Source: Alexandria via LeMat-Bulk, functional PBEsol.

Lattice parameters (Å, degrees): 4.765 4.765 4.765 90.00 90.00 90.00
Space group Pm-3m (No. 221)
One atom of each set of equivalent atoms:
Na 0.000 0.000 0.500 (multiplicity 3)
W 0.500 0.500 0.500 (multiplicity 1)
N 0.000 0.000 0.000 (multiplicity 1)

Values from the calculation:
D(E_F) (states/eV/cell): 4.799
Formation energy without anion corrections (eV per atom): 1.611
VASP energy (eV/atom): -3.695
Size of the total moment (μB per formula unit): 6.068

***

A relaxed Ti3InAs crystal. Source: Alexandria via LeMat-Bulk, functional PBEsol.

Lattice parameters (Å, degrees): 4.644 4.644 4.644 90.00 90.00 90.00
Space group Pm-3m (No. 221)
One atom of each set of equivalent atoms:
Ti 0.000 0.000 0.500 (multiplicity 3)
In 0.500 0.500 0.500 (multiplicity 1)
As 0.000 0.000 0.000 (multiplicity 1)

Values from the calculation:
D(E_F) (states/eV/cell): 4.789
Formation energy from the elements (kJ per mole of atoms): -4.6
VASP energy (eV/atom): -6.659
Size of the total moment (μB per formula unit): 0.001

***

A relaxed ZnCoIr2 crystal. Source: Alexandria via LeMat-Bulk, functional PBEsol.

Lattice parameters (Å, degrees): 3.702 3.702 7.474 90.00 90.00 90.00
Space group I-4m2 (No. 119)
One atom of each set of equivalent atoms:
Zn 0.000 0.000 0.000 (multiplicity 2)
Co 0.000 0.500 0.250 (multiplicity 2)
Ir 0.000 0.000 0.500 (multiplicity 2)
Ir 0.000 0.500 0.750 (multiplicity 2)

Values from the calculation:
D(E_F) (states/eV/cell): 7.423
Formation energy from the elements (kJ per mole of atoms): -1.1
VASP energy (eV/atom): -7.253
Size of the total moment (μB per formula unit): 0.001

***

A relaxed Ti2SnPbC crystal. Source: Alexandria via LeMat-Bulk, functional PBEsol.

Lattice parameters (Å, degrees): 5.183 5.183 5.545 90.00 90.00 90.00
Space group P4/mmm (No. 123)
One atom of each set of equivalent atoms:
Ti 0.000 0.500 0.000 (multiplicity 2)
Sn 0.000 0.000 0.500 (multiplicity 1)
Pb 0.000 0.000 0.000 (multiplicity 1)
C 0.500 0.500 0.500 (multiplicity 1)

Values from the calculation:
D(E_F) (states/eV/cell): 6.956
Formation energy from the elements (kJ per mole of atoms): 240.0
VASP energy (eV/atom): -4.422
Size of the total moment (μB per formula unit): 2.359

***

A relaxed Na4PtO4 crystal. Source: Alexandria via LeMat-Bulk, functional PBEsol.

Lattice parameters (Å, degrees): 10.748 3.250 7.864 90.00 121.09 90.00
Space group C2/m (No. 12)
One atom of each set of equivalent atoms:
Na 0.130 0.000 0.397 (multiplicity 4)
Na 0.202 0.500 0.824 (multiplicity 4)
Pt 0.000 0.500 0.000 (multiplicity 2)
O 0.069 0.000 0.906 (multiplicity 4)
O 0.197 0.500 0.269 (multiplicity 4)

Values from the calculation:
Formation energy without anion corrections (eV per atom): -1.123
VASP energy (eV/atom): -4.852
Size of the total moment (μB per formula unit): 0.000

***

A relaxed ZnPd5Se crystal. Source: Alexandria via LeMat-Bulk, functional PBEsol.

Lattice parameters (Å, degrees): 3.922 3.922 6.907 90.00 90.00 90.00
Space group P4/mmm (No. 123)
One atom of each set of equivalent atoms:
Zn 0.000 0.000 0.000 (multiplicity 1)
Pd 0.000 0.500 0.274 (multiplicity 4)
Pd 0.500 0.500 0.000 (multiplicity 1)
Se 0.500 0.500 0.500 (multiplicity 1)

Values from the calculation:
D(E_F) (states/eV/cell): 1.597
Formation energy without anion corrections (eV per atom): -0.334
VASP energy (eV/atom): -5.366
Size of the total moment (μB per formula unit): 0.000

***

A relaxed AlRe5 crystal. Source: Alexandria via LeMat-Bulk, functional PBEsol.

Lattice parameters (Å, degrees): 2.801 2.801 11.012 90.00 90.00 90.00
Space group P4/mmm (No. 123)
One atom of each set of equivalent atoms:
Al 0.000 0.000 0.000 (multiplicity 1)
Re 0.000 0.000 0.324 (multiplicity 2)
Re 0.500 0.500 0.162 (multiplicity 2)
Re 0.500 0.500 0.500 (multiplicity 1)

Values from the calculation:
D(E_F) (states/eV/cell): 3.827
Formation energy from the elements (kJ per mole of atoms): -3.1
VASP energy (eV/atom): -11.824
Energy relative to the lowest polymorph listed for this composition (meV/atom): 3
Size of the total moment (μB per formula unit): 0.000

***

A relaxed PrCuSi crystal. Source: Alexandria via LeMat-Bulk, functional PBEsol.

Lattice parameters (Å, degrees): 4.0926 4.0926 4.1391 90.00 90.00 120.00
Space group P-6m2 (No. 187)
One atom of each set of equivalent atoms:
Pr 0.0000 0.0000 0.0000 (multiplicity 1)
Cu 0.6667 0.3333 0.5000 (multiplicity 1)
Si 0.3333 0.6667 0.5000 (multiplicity 1)

Values from the calculation:
D(E_F) (states/eV/cell): 2.461
Formation energy without anion corrections (eV per atom): -0.605
VASP energy (eV/atom): -5.693
Size of the total moment (μB per formula unit): 0.009

***

A relaxed LiO2F2 crystal. Source: Alexandria via LeMat-Bulk, functional PBEsol.

Lattice parameters (Å, degrees): 2.563 2.563 15.136 90.00 90.00 90.00
Space group I4/mmm (No. 139)
One atom of each set of equivalent atoms:
Li 0.000 0.000 0.000 (multiplicity 2)
O 0.000 0.500 0.250 (multiplicity 4)
F 0.000 0.000 0.437 (multiplicity 4)

Values from the calculation:
D(E_F) (states/eV/cell): 2.292
Formation energy without anion corrections (eV per atom): -0.427
VASP energy (eV/atom): -3.691
Energy relative to the lowest polymorph listed for this composition (meV/atom): 0
Size of the total moment (μB per formula unit): 0.993

***

A relaxed ZnCd2Ir crystal. Source: Alexandria via LeMat-Bulk, functional PBEsol.

Lattice parameters (Å, degrees): 3.101 3.101 7.006 90.00 90.00 90.00
Space group P4mm (No. 99)
One atom of each set of equivalent atoms:
Zn 0.000 0.000 0.000 (multiplicity 1)
Cd 0.000 0.000 0.563 (multiplicity 1)
Cd 0.500 0.500 0.259 (multiplicity 1)
Ir 0.500 0.500 0.819 (multiplicity 1)

Values from the calculation:
D(E_F) (states/eV/cell): 1.212
Formation energy from the elements (kJ per mole of atoms): 2.5
VASP energy (eV/atom): -3.424
Size of the total moment (μB per formula unit): 0.000

***

A relaxed NaZn2N crystal. Source: Alexandria via LeMat-Bulk, functional PBEsol.

Lattice parameters (Å, degrees): 6.157 6.157 8.643 90.00 90.00 90.00
Space group I-42d (No. 122)
One atom of each set of equivalent atoms:
Na 0.000 0.000 0.000 (multiplicity 4)
Zn 0.055 0.250 0.625 (multiplicity 8)
N 0.000 0.000 0.500 (multiplicity 4)

Values from the calculation:
D(E_F) (states/eV/cell): 7.360
Formation energy without anion corrections (eV per atom): 0.261
VASP energy (eV/atom): -3.011
Size of the total moment (μB per formula unit): 0.000

***

A relaxed CrCoI2Cl crystal. Source: Alexandria via LeMat-Bulk, functional PBEsol.

Lattice parameters (Å, degrees): 5.330 5.330 4.259 90.00 90.00 90.00
Space group P4/mmm (No. 123)
One atom of each set of equivalent atoms:
Cr 0.000 0.000 0.000 (multiplicity 1)
Co 0.500 0.500 0.500 (multiplicity 1)
I 0.000 0.500 0.500 (multiplicity 2)
Cl 0.500 0.500 0.000 (multiplicity 1)

Values from the calculation:
D(E_F) (states/eV/cell): 5.183
Formation energy without anion corrections (eV per atom): 0.322
VASP energy (eV/atom): -4.382
Size of the total moment (μB per formula unit): 5.846

***

A relaxed Ta8NiSe8 crystal. Source: Alexandria via LeMat-Bulk, functional PBEsol.

Lattice parameters (Å, degrees): 22.393 3.420 16.755 90.00 90.00 90.00
Space group Pnma (No. 62)
One atom of each set of equivalent atoms:
Ta 0.018 0.250 0.164 (multiplicity 4)
Ta 0.045 0.250 0.958 (multiplicity 4)
Ta 0.054 0.750 0.303 (multiplicity 4)
Ta 0.058 0.750 0.682 (multiplicity 4)
Ta 0.125 0.750 0.842 (multiplicity 4)
Ta 0.167 0.250 0.709 (multiplicity 4)
Ta 0.184 0.750 0.562 (multiplicity 4)
Ta 0.246 0.250 0.447 (multiplicity 4)
Ni 0.054 0.250 0.791 (multiplicity 4)
Se 0.031 0.250 0.414 (multiplicity 4)
Se 0.074 0.750 0.069 (multiplicity 4)
Se 0.097 0.250 0.575 (multiplicity 4)
Se 0.122 0.250 0.231 (multiplicity 4)
Se 0.163 0.250 0.952 (multiplicity 4)
Se 0.164 0.750 0.409 (multiplicity 4)
Se 0.233 0.750 0.787 (multiplicity 4)
Se 0.236 0.750 0.105 (multiplicity 4)

Values from the calculation:
D(E_F) (states/eV/cell): 29.139
Formation energy without anion corrections (eV per atom): -0.694
VASP energy (eV/atom): -8.775
Size of the total moment (μB per formula unit): 0.000

***

A relaxed Zr2TeAs crystal. Source: Alexandria via LeMat-Bulk, functional PBEsol.

Lattice parameters (Å, degrees): 3.9533 3.9533 19.7702 90.00 90.00 120.00
Space group R-3m (No. 166, hexagonal axes)
One atom of each set of equivalent atoms:
Zr 0.0000 0.0000 0.2322 (multiplicity 6)
Te 0.0000 0.0000 0.0000 (multiplicity 3)
As 0.0000 0.0000 0.5000 (multiplicity 3)

Values from the calculation:
D(E_F) (states/eV/cell): 5.364
Formation energy without anion corrections (eV per atom): -1.003
VASP energy (eV/atom): -7.706
Size of the total moment (μB per formula unit): 0.000

***

A relaxed Nd5Te2Cl3O10 crystal. Source: Alexandria via LeMat-Bulk, functional PBEsol.

Lattice parameters (Å, degrees): 12.637 5.612 10.062 90.00 90.59 90.00
Space group C2/m (No. 12)
One atom of each set of equivalent atoms:
Nd 0.000 0.000 0.000 (multiplicity 2)
Nd 0.102 0.500 0.233 (multiplicity 4)
Nd 0.208 0.500 0.894 (multiplicity 4)
Te 0.082 0.000 0.668 (multiplicity 4)
Cl 0.000 0.500 0.500 (multiplicity 2)
Cl 0.158 0.000 0.350 (multiplicity 4)
O 0.053 0.244 0.796 (multiplicity 8)
O 0.146 0.253 0.059 (multiplicity 8)
O 0.226 0.000 0.708 (multiplicity 4)

Values from the calculation:
D(E_F) (states/eV/cell): 0.000
Formation energy without anion corrections (eV per atom): -2.617
VASP energy (eV/atom): -7.187
Size of the total moment (μB per formula unit): 0.000

***

A relaxed Na2YHfZr crystal. Source: Alexandria via LeMat-Bulk, functional PBEsol.

Lattice parameters (Å, degrees): 5.225 5.225 5.174 90.00 90.00 90.00
Space group P4/mmm (No. 123)
One atom of each set of equivalent atoms:
Na 0.000 0.500 0.000 (multiplicity 2)
Y 0.000 0.000 0.500 (multiplicity 1)
Hf 0.500 0.500 0.500 (multiplicity 1)
Zr 0.000 0.000 0.000 (multiplicity 1)

Values from the calculation:
D(E_F) (states/eV/cell): 4.215
Formation energy from the elements (kJ per mole of atoms): 152.4
VASP energy (eV/atom): -4.263
Size of the total moment (μB per formula unit): 0.000

***

A relaxed KDyMo2O8 crystal. Source: Alexandria via LeMat-Bulk, functional PBEsol.

Lattice parameters (Å, degrees): 10.541 10.226 7.641 90.00 131.18 90.00
Space group C2/c (No. 15)
One atom of each set of equivalent atoms:
K 0.000 0.197 0.250 (multiplicity 4)
Dy 0.000 0.230 0.750 (multiplicity 4)
Mo 0.196 0.497 0.242 (multiplicity 8)
O 0.025 0.392 0.972 (multiplicity 8)
O 0.125 0.077 0.691 (multiplicity 8)
O 0.192 0.418 0.441 (multiplicity 8)
O 0.230 0.158 0.123 (multiplicity 8)

Values from the calculation:
D(E_F) (states/eV/cell): 0.000
Formation energy without anion corrections (eV per atom): -2.464
VASP energy (eV/atom): -8.434
Size of the total moment (μB per formula unit): 0.000

***

A relaxed Si5Pt12 crystal. Source: Alexandria via LeMat-Bulk, functional PBEsol.

Lattice parameters (Å, degrees): 9.471 9.471 5.508 90.00 90.00 90.00
Space group I4/m (No. 87)
One atom of each set of equivalent atoms:
Si 0.000 0.000 0.000 (multiplicity 2)
Si 0.082 0.306 0.500 (multiplicity 8)
Pt 0.059 0.367 0.000 (multiplicity 8)
Pt 0.120 0.824 0.250 (multiplicity 16)

Values from the calculation:
D(E_F) (states/eV/cell): 12.180
Formation energy without anion corrections (eV per atom): -0.599
VASP energy (eV/atom): -7.205
Energy relative to the lowest polymorph listed for this composition (meV/atom): 25
Size of the total moment (μB per formula unit): 0.000

***

A relaxed K3HRu crystal. Source: Alexandria via LeMat-Bulk, functional PBEsol.

Lattice parameters (Å, degrees): 5.230 5.230 5.230 90.00 90.00 90.00
Space group Pm-3m (No. 221)
One atom of each set of equivalent atoms:
K 0.000 0.000 0.500 (multiplicity 3)
H 0.000 0.000 0.000 (multiplicity 1)
Ru 0.500 0.500 0.500 (multiplicity 1)

Values from the calculation:
D(E_F) (states/eV/cell): 10.620
VASP energy (eV/atom): -2.476
Size of the total moment (μB per formula unit): 1.998

***

A relaxed CaCr2P2O10 crystal. Source: Alexandria via LeMat-Bulk, functional PBEsol.

Lattice parameters (Å, degrees): 7.146 11.298 15.794 90.00 90.00 90.00
Space group Fddd (No. 70, origin choice 2)
One atom of each set of equivalent atoms:
Ca 0.125 0.125 0.125 (multiplicity 8)
Cr 0.000 0.000 0.500 (multiplicity 16)
P 0.125 0.125 0.333 (multiplicity 16)
O 0.047 0.367 0.525 (multiplicity 32)
O 0.114 0.014 0.859 (multiplicity 32)
O 0.125 0.125 0.536 (multiplicity 16)

Values from the calculation:
D(E_F) (states/eV/cell): 14.645
Formation energy without anion corrections (eV per atom): -2.268
VASP energy (eV/atom): -8.048
Size of the total moment (μB per formula unit): 4.000